1.
# Li3CaTe GGA-PBE optimized geometry
data_Li3CaTe
_cell_length_a 5.2865
_cell_length_b 5.2865
_cell_length_c 5.2865
_cell_angle_alpha 90.00
_cell_angle_beta 90.00
_cell_angle_gamma 90.00
_symmetry_space_group_name_H-M 'P m -3 m'
_symmetry_Int_Tables_number 221
_symmetry_space_group_name_Hall '-P 4 2 3'
loop_
_atom_site_label
_atom_site_fract_x
_atom_site_fract_y
_atom_site_fract_z
Li1 0.0000 0.0000 0.5000
Ca1 0.5000 0.5000 0.5000
Te1 0.0000 0.0000 0.0000
# calculated volume = 29.55 Å³ per atom
# final energy = -12.49 eV for the cell shown
# energy above the most stable polymorph in this dataset = 0 kJ/mol of formula units
# size of the total moment = 0.00 μB per atom
# uncorrected formation energy = -0.322 eV/atom

***

2.
# Li2Zn2Au3 GGA-PBE optimized geometry
data_Li2Zn2Au3
_cell_length_a 4.0036
_cell_length_b 19.4512
_cell_length_c 2.8695
_cell_angle_alpha 90.00
_cell_angle_beta 90.00
_cell_angle_gamma 90.00
_symmetry_space_group_name_H-M 'C m m m'
_symmetry_Int_Tables_number 65
_symmetry_space_group_name_Hall '-C 2 2'
loop_
_atom_site_label
_atom_site_fract_x
_atom_site_fract_y
_atom_site_fract_z
Li1 0.0000 0.0720 0.0000
Zn1 0.0000 0.2084 0.0000
Au1 0.0000 0.3494 0.5000
Au2 0.0000 0.5000 0.5000
# calculated volume = 15.96 Å³ per atom
# formation energy from the elements = -8.3 kcal/mol of atoms
# final energy = -37.44 eV for the cell shown
# energy above the most stable polymorph in this dataset = 0 kJ/mol of formula units
# size of the total moment = 0.00 μB per atom

***

3.
# Sc2SbBr GGA-PBE optimized geometry
data_Sc2SbBr
_cell_length_a 7.1546
_cell_length_b 7.1546
_cell_length_c 7.1546
_cell_angle_alpha 90.00
_cell_angle_beta 90.00
_cell_angle_gamma 90.00
_symmetry_space_group_name_H-M 'F m -3 m'
_symmetry_Int_Tables_number 225
_symmetry_space_group_name_Hall '-F 4 2 3'
loop_
_atom_site_label
_atom_site_fract_x
_atom_site_fract_y
_atom_site_fract_z
Sc1 0.2500 0.2500 0.2500
Sb1 0.0000 0.0000 0.0000
Br1 0.0000 0.0000 0.5000
# calculated volume = 22.89 Å³ per atom
# final energy = -86.24 eV for the cell shown
# energy above the most stable polymorph in this dataset = 26 kJ/mol of formula units
# size of the total moment = 0.40 μB per atom
# uncorrected formation energy = -0.776 eV/atom

***

Please write out number 1 again, unchanged.
# Li3CaTe GGA-PBE optimized geometry
data_Li3CaTe
_cell_length_a 5.2865
_cell_length_b 5.2865
_cell_length_c 5.2865
_cell_angle_alpha 90.00
_cell_angle_beta 90.00
_cell_angle_gamma 90.00
_symmetry_space_group_name_H-M 'P m -3 m'
_symmetry_Int_Tables_number 221
_symmetry_space_group_name_Hall '-P 4 2 3'
loop_
_atom_site_label
_atom_site_fract_x
_atom_site_fract_y
_atom_site_fract_z
Li1 0.0000 0.0000 0.5000
Ca1 0.5000 0.5000 0.5000
Te1 0.0000 0.0000 0.0000
# calculated volume = 29.55 Å³ per atom
# final energy = -12.49 eV for the cell shown
# energy above the most stable polymorph in this dataset = 0 kJ/mol of formula units
# size of the total moment = 0.00 μB per atom
# uncorrected formation energy = -0.322 eV/atom